(1)
VASP calculation (GGA-PBE) on Tl12PbAu7 after structural relaxation.

Geometry as extended XYZ:
```
20
Lattice="7.4513 4.3020 2.8163 -7.4513 4.3020 2.8163 0.0000 -8.6040 2.8163" Properties=species:S:1:pos:R:3 pbc="T T T"
Tl -5.0194 1.5043 2.5977
Tl -2.0776 -2.3365 3.2486
Tl 1.2069 -5.0990 2.5977
Tl -3.8124 -3.5948 5.8513
Tl -0.9847 2.9675 3.2486
Tl -3.0623 0.6310 5.2003
Tl 3.0623 -0.6310 3.2486
Tl 0.9847 -2.9675 5.2003
Tl 3.8124 3.5948 2.5977
Tl -1.2069 5.0990 5.8513
Tl 2.0776 2.3365 5.2003
Tl 5.0194 -1.5043 5.8513
Pb 0.0000 0.0000 0.0000
Au -2.1628 0.4266 2.1752
Au 0.7119 -2.0863 2.1752
Au 1.4509 1.6597 2.1752
Au 0.0000 0.0000 4.2245
Au -1.4509 -1.6597 6.2737
Au -0.7119 2.0863 6.2738
Au 2.1628 -0.4266 6.2738
```

## Properties
For the total energy, the calculation gives -2.770 eV/atom. The density of states at the Fermi level comes out at 0.32 states/eV per atom. For the spin magnetization, the calculation gives 0.00 μB/cell. For the formation energy, the calculation gives -0.0175 eV/atom. For the volume, the calculation gives 541.7 Å³/cell.



(2)
VASP calculation (GGA-PBE) on Tl8PbAu6 after structural relaxation.

Geometry as extended XYZ:
```
15
Lattice="4.3114 2.4892 6.4072 -4.3114 2.4892 6.4072 0.0000 -4.9784 6.4072" Properties=species:S:1:pos:R:3 pbc="T T T"
Tl -1.5209 -2.5494 7.5134
Tl 0.0000 0.0000 3.2074
Tl -2.9683 0.0424 11.7082
Tl -1.4474 2.5918 7.5134
Tl 1.4474 -2.5918 11.7082
Tl 2.9683 -0.0424 7.5134
Tl 0.0000 0.0000 16.0142
Tl 1.5209 2.5494 11.7082
Pb 0.0000 0.0000 9.6108
Au -2.7920 0.0369 8.3119
Au -1.4279 -2.3995 10.9097
Au 1.3641 -2.4363 8.3119
Au -1.3641 2.4363 10.9097
Au 1.4279 2.3995 8.3119
Au 2.7920 -0.0369 10.9097
```

## Properties
For the total energy, the calculation gives -2.826 eV/atom. The density of states at the Fermi level comes out at 0.43 states/eV per atom. For the spin magnetization, the calculation gives 0.00 μB/cell. For the formation energy, the calculation gives -0.0061 eV/atom. For the volume, the calculation gives 412.6 Å³/cell.